(1)
Li3NiSb2: optimized geometry, PBE.

Properties
* theoretical density: 4.80 g/cm³
* Fermi-level density of states: 0.560 states/eV/atom
* raw formation energy: -0.41 eV per atom

Geometry as POSCAR:
```
Li3NiSb2
1.0
-5.748 0.769 -0.581
-0.029 -3.659 -4.561
1.805 -3.592 6.619
Sb Ni Li
4 2 6
direct
0.905 0.627 0.254 Sb
0.349 0.127 0.254 Sb
0.651 0.873 0.746 Sb
0.095 0.373 0.746 Sb
0.000 0.250 0.000 Ni
0.000 0.750 0.000 Ni
0.584 0.344 0.688 Li
0.500 0.750 0.000 Li
0.500 0.250 0.000 Li
0.895 0.156 0.312 Li
0.416 0.656 0.312 Li
0.105 0.844 0.688 Li
```

---

(2)
AcTb4Y7: optimized geometry, PBE.

Properties
* theoretical density: 5.93 g/cm³
* energy above the most stable polymorph in this dataset: 301 meV per atom
* energy of formation: 314 meV per atom
* Fermi-level density of states: 1.892 states/eV/atom

Geometry as POSCAR:
```
AcTb4Y7
1.0
-6.033 -0.589 -0.223
-2.220 -4.566 -10.369
-2.545 -5.987 2.184
Y Ac Tb
7 1 4
direct
0.215 0.081 0.488 Y
0.362 0.513 0.764 Y
0.954 0.354 0.739 Y
0.046 0.646 0.261 Y
0.785 0.919 0.512 Y
0.638 0.487 0.236 Y
0.500 0.000 0.000 Y
0.000 0.000 0.000 Ac
0.266 0.311 0.156 Tb
0.374 0.775 0.476 Tb
0.734 0.689 0.844 Tb
0.626 0.225 0.524 Tb
```

---

(3)
Pm2TlCo: optimized geometry, PBE.

Properties
* theoretical density: 9.22 g/cm³
* energy of formation: -171 meV per atom
* Fermi-level density of states: 0.777 states/eV/atom

Geometry as POSCAR:
```
Pm2TlCo
1.0
-2.413 2.296 0.910
-1.382 -0.200 -3.158
-4.955 -6.225 2.563
Co Tl Pm
1 1 2
direct
0.500 0.500 0.000 Co
0.500 0.500 0.500 Tl
0.000 0.000 0.797 Pm
0.000 0.000 0.203 Pm
```

---

(4)
CaZnTe: optimized geometry, PBE.

Properties
* theoretical density: 4.58 g/cm³
* energy above the most stable polymorph in this dataset: 80 meV per atom
* Fermi-level density of states: 0.242 states/eV/atom
* raw formation energy: -0.61 eV per atom

Geometry as POSCAR:
```
CaZnTe
1.0
5.548 -0.227 0.261
4.084 3.763 0.257
1.464 0.541 3.953
Zn Ca Te
1 1 1
direct
0.667 0.667 0.333 Zn
0.990 0.990 0.010 Ca
0.343 0.343 0.657 Te
```

---

(5)
Cs2CaTiCl6: optimized geometry, PBE.

Properties
* theoretical density: 3.18 g/cm³
* Fermi-level density of states: 1.794 states/eV/atom
* raw formation energy: -1.94 eV per atom

Geometry as POSCAR:
```
Cs2CaTiCl6
1.0
-0.195 1.192 -7.385
-7.451 -0.677 0.088
-4.286 5.458 -2.797
Cs Ti Cl Ca
2 1 6 1
direct
0.750 0.250 0.500 Cs
0.250 0.750 0.500 Cs
0.000 0.000 0.000 Ti
0.241 0.241 0.518 Cl
0.241 0.759 0.000 Cl
0.759 0.759 0.000 Cl
0.759 0.241 0.000 Cl
0.241 0.241 0.000 Cl
0.759 0.759 0.482 Cl
0.500 0.500 0.000 Ca
```

---

(6)
ZrTl2Mo: optimized geometry, PBE.

Properties
* theoretical density: 10.71 g/cm³
* energy above the most stable polymorph in this dataset: 0 meV per atom
* energy of formation: 325 meV per atom
* Fermi-level density of states: 0.775 states/eV/atom

Geometry as POSCAR:
```
ZrTl2Mo
1.0
-1.835 -0.247 2.576
1.462 -2.742 -0.639
7.587 2.725 5.666
Zr Mo Tl
1 1 2
direct
0.000 0.000 0.532 Zr
0.500 0.500 0.733 Mo
0.000 0.000 0.972 Tl
0.500 0.500 0.263 Tl
```

---

(7)
KFeCo2: optimized geometry, PBE.

Properties
* theoretical density: 5.67 g/cm³
* energy above the most stable polymorph in this dataset: 675 meV per atom
* energy of formation: 1309 meV per atom
* Fermi-level density of states: 1.276 states/eV/atom

Geometry as POSCAR:
```
KFeCo2
1.0
-2.057 -0.476 -3.919
-4.285 -1.198 -0.133
-3.095 2.940 -1.261
Co Fe K
2 1 1
direct
0.000 0.000 0.000 Co
0.250 0.250 0.250 Co
0.500 0.500 0.500 Fe
0.750 0.750 0.750 K
```

---

(8)
Ba3PdO4: optimized geometry, PBE.

Properties
* theoretical density: 5.03 g/cm³
* Fermi-level density of states: 0.484 states/eV/atom
* raw formation energy: -1.84 eV per atom

Geometry as POSCAR:
```
Ba3PdO4
1.0
-4.462 -0.734 2.635
1.032 -8.367 -0.582
4.415 0.024 7.483
O Ba Pd
8 6 2
direct
0.058 0.296 0.765 O
0.147 0.792 0.500 O
0.058 0.296 0.235 O
0.558 0.704 0.265 O
0.559 0.192 0.500 O
0.647 0.208 0.000 O
0.558 0.704 0.735 O
0.059 0.808 0.000 O
0.057 0.651 0.761 Ba
0.062 0.101 0.500 Ba
0.562 0.899 0.000 Ba
0.557 0.349 0.261 Ba
0.057 0.651 0.239 Ba
0.557 0.349 0.739 Ba
0.016 0.277 0.000 Pd
0.516 0.723 0.500 Pd
```

---

(9)
Ag7SbS6: optimized geometry, PBE.

Properties
* theoretical density: 5.57 g/cm³
* Fermi-level density of states: 0.227 states/eV/atom
* raw formation energy: 0.03 eV per atom

Geometry as POSCAR:
```
Ag7SbS6
1.0
-1.532 -5.739 2.462
4.418 -7.351 -5.990
7.324 -2.545 7.023
S Ag Sb
12 14 2
direct
0.814 0.345 0.655 S
0.314 0.155 0.845 S
0.186 0.655 0.345 S
0.069 0.050 0.264 S
0.883 0.450 0.236 S
0.117 0.550 0.764 S
0.431 0.236 0.450 S
0.931 0.950 0.736 S
0.617 0.264 0.050 S
0.569 0.764 0.550 S
0.686 0.845 0.155 S
0.383 0.736 0.950 S
0.148 0.130 0.652 Ag
0.769 0.517 0.483 Ag
0.231 0.483 0.517 Ag
0.352 0.848 0.370 Ag
0.930 0.348 0.870 Ag
0.852 0.870 0.348 Ag
0.269 0.983 0.017 Ag
0.750 0.750 0.750 Ag
0.070 0.652 0.130 Ag
0.731 0.017 0.983 Ag
0.250 0.250 0.250 Ag
0.430 0.370 0.848 Ag
0.648 0.152 0.630 Ag
0.570 0.630 0.152 Ag
0.250 0.750 0.750 Sb
0.750 0.250 0.250 Sb
```

---

(10)
WSe2S: optimized geometry, PBE.

Properties
* theoretical density: 6.27 g/cm³
* Fermi-level density of states: 0.262 states/eV/atom
* raw formation energy: 0.58 eV per atom

Geometry as POSCAR:
```
WSe2S
1.0
6.425 0.000 0.000
0.000 6.425 0.000
3.212 3.212 4.800
Se S W
4 2 2
direct
0.375 0.333 0.750 Se
0.875 0.917 0.750 Se
0.083 0.625 0.250 Se
0.667 0.125 0.250 Se
0.250 0.750 0.500 S
0.500 0.500 0.000 S
0.000 0.000 0.000 W
0.750 0.250 0.500 W
```

---

(11)
Ba2HoPtO5: optimized geometry, PBE.

Properties
* theoretical density: 7.96 g/cm³
* Fermi-level density of states: 0.262 states/eV/atom
* raw formation energy: -2.15 eV per atom

Geometry as POSCAR:
```
Ba2HoPtO5
1.0
-3.132 -1.692 0.026
4.261 -4.078 4.180
-3.340 6.325 9.575
O Ho Ba Pt
10 2 4 2
direct
0.052 0.104 0.057 O
0.277 0.555 0.638 O
0.628 0.256 0.488 O
0.485 0.970 0.784 O
0.667 0.334 0.897 O
0.333 0.666 0.397 O
0.723 0.445 0.138 O
0.515 0.030 0.284 O
0.372 0.744 0.988 O
0.948 0.896 0.557 O
0.207 0.414 0.020 Ho
0.793 0.586 0.520 Ho
0.149 0.299 0.305 Ba
0.851 0.701 0.805 Ba
0.903 0.806 0.186 Ba
0.097 0.194 0.686 Ba
0.479 0.958 0.448 Pt
0.521 0.042 0.948 Pt
```

---

(12)
La2CrHg: optimized geometry, PBE.

Properties
* theoretical density: 7.40 g/cm³
* energy of formation: 174 meV per atom
* Fermi-level density of states: 0.907 states/eV/atom

Geometry as POSCAR:
```
La2CrHg
1.0
4.077 0.125 -0.003
2.295 3.372 -0.003
1.597 0.876 8.832
Hg Cr La
1 1 2
direct
0.250 0.250 0.250 Hg
0.750 0.750 0.750 Cr
0.003 0.003 0.974 La
0.497 0.497 0.526 La
```

---

- Which value of Fermi-level density of states does entry 4 give?
  0.242 states/eV/atom

---

- Which formula does entry 5 have?
  Cs2CaTiCl6